*w*
The following is a PBE calculation of a relaxed structure of Ag2BF, from the Alexandria database.

abc: 4.208 4.208 4.208
angles: 60.00 60.00 60.00
Fractional positions:
Ag (0.250, 0.250, 0.250)
Ag (0.750, 0.750, 0.750)
B (0.000, 0.000, 0.000)
F (0.500, 0.500, 0.500)

Magnetic moment = 0.000 μB per atom
Volume = 52.7 Å³/cell
Space group = Fm-3m, No. 225

=====

*x*
The following is a PBE calculation of a relaxed structure of Ag2BF, from the Alexandria database.

abc: 5.422 5.422 5.422
angles: 113.61 113.61 101.47
Fractional positions:
Ag (0.090, 0.125, 0.465)
Ag (0.375, 0.910, 0.035)
Ag (0.660, 0.625, 0.535)
Ag (0.875, 0.340, 0.965)
B (0.000, 0.000, 0.000)
B (0.750, 0.250, 0.500)
F (0.250, 0.750, 0.500)
F (0.500, 0.500, 0.000)

Magnetic moment = 0.000 μB per atom
Volume = 120.9 Å³/cell
Space group = I-42d, No. 122

=====

Among the structures above, stability is smallest for *w*.